Here is a relaxed KLiCa2Ni crystal from Alexandria. Energies are from GGA-PBE.

Cell: 5.5079 5.5079 5.5067 Å, 90.00 90.00 90.00°
Space group P4/mmm (No. 123)
Asymmetric unit:
K 0.0000 0.0000 0.0000 x1
Li 0.5000 0.5000 0.0000 x1
Ca 0.0000 0.5000 0.5000 x2
Ni 0.5000 0.5000 0.5000 x1

Computed properties:
* energy relative to the elements: 0.1213 eV per atom
* magnetization: 0.0 μB per cell

***

Here is a relaxed Ni2Sb6Rh crystal from Alexandria. Energies are from GGA-PBE.

Cell: 6.7241 6.7241 5.0515 Å, 90.00 90.00 120.00°
Space group P-31m (No. 162)
Asymmetric unit:
Ni 0.3333 0.6667 0.0000 x2
Sb 0.0000 0.3537 0.2621 x6
Rh 0.0000 0.0000 0.5000 x1

Computed properties:
* calculated total energy: -5.112 eV per atom
* magnetization: 0.0 μB per cell

***

Here is a relaxed GaCoNi2C crystal from Alexandria. Energies are from GGA-PBE.

Cell: 3.7844 3.7844 3.7329 Å, 90.00 90.00 90.00°
Space group P4/mmm (No. 123)
Asymmetric unit:
Ga 0.0000 0.0000 0.0000 x1
Co 0.5000 0.5000 0.0000 x1
Ni 0.0000 0.5000 0.5000 x2
C 0.5000 0.5000 0.5000 x1

Computed properties:
* energy relative to the elements: -0.0753 eV per atom
* magnetization: 0.6 μB per cell

***

Here is a relaxed BaTlPb3 crystal from Alexandria. Energies are from GGA-PBE.

Cell: 6.9133 7.2805 7.3422 Å, 90.00 90.00 90.00°
Space group Pmn2_1 (No. 31)
Asymmetric unit:
Ba 0.0000 0.2475 0.0000 x2
Tl 0.0000 0.8921 0.3415 x2
Pb 0.0000 0.5919 0.6424 x2
Pb 0.2498 0.2473 0.4901 x4

Computed properties:
* polymorph energy (0 for the lowest one): 0.0 meV/atom
* energy relative to the elements: -0.2341 eV per atom
* magnetization: 0.0 μB per cell

***

Among the records above, which one has the highest magnetization?
GaCoNi2C